PaTa2O6 (PBE, relaxed); space-group type = No. 164; spin magnetization = 0.0 μB per cell; mass density = 9132 kg/m3; energy relative to the elements, uncorrected = -2.81 eV per atom; energy = -9.81 eV per atom
1.0
-0.4451 -5.0113 0.6383
4.9719 -1.4186 -7.6707
4.2330 0.6682 8.1980
O Pa Ta
18 3 6
Cartesian
5.6392 -3.7236 4.3438
4.4632 -4.8963 -3.7391
3.1207 -2.0381 -3.1782
2.7164 -4.3979 -1.0441
2.5827 -3.4744 4.1687
3.9673 -3.5999 6.7617
5.9504 -4.6616 -0.8589
4.2336 -3.9454 1.6217
4.7925 -2.1618 -5.5961
7.4672 -1.7396 -0.4161
4.2966 -0.8654 4.9047
1.2927 -4.0221 1.5817
4.5262 -1.8162 -0.4561
6.0435 -1.3638 2.2097
2.8094 -1.1001 2.0244
7.1089 -4.4962 1.9149
6.1771 -2.2873 -3.0031
1.6509 -1.2655 -0.7493
4.4938 -3.3330 -2.0487
0.0000 0.0000 0.0000
4.2660 -2.4287 3.2143
3.2023 -0.9136 -4.9404
3.2763 -0.2671 0.1877
1.5066 0.2378 2.9179
1.7697 -0.5049 -2.7302
5.9286 -0.4833 0.3396
2.7263 0.4304 5.2801